A geometry-optimized Zr3AlCN structure, computed with PBE-GGA.

Calculated values
Its energy is -105.8 eV/cell.

Structure (POSCAR):
```
Zr3AlCN
1.0
3.3017 0.0000 0.0000
-1.6508 2.8593 0.0000
0.0000 0.0000 19.7328
Zr C N Al
6 2 2 2
Direct
0.0000 0.0000 0.0000
0.6667 0.3333 0.3684
0.6667 0.3333 0.1331
0.3333 0.6667 0.8669
0.3333 0.6667 0.6316
0.0000 0.0000 0.5000
0.3333 0.6667 0.0720
0.6667 0.3333 0.9280
0.6667 0.3333 0.5674
0.3333 0.6667 0.4326
0.0000 0.0000 0.7474
0.0000 0.0000 0.2526
```